(1)
# NdTm2S3, optimized geometry, DFT PBE-GGA
# crystal system: trigonal
# E_tot: -37.9 eV per formula unit
data_NdTm2S3
_chemical_formula_sum 'Nd1 Tm2 S3'
_cell_length_a 3.8879
_cell_length_b 3.8879
_cell_length_c 9.7190
_cell_angle_alpha 90.00
_cell_angle_beta 90.00
_cell_angle_gamma 120.00
_symmetry_space_group_name_H-M 'P -3 m 1'
_symmetry_Int_Tables_number 164
_symmetry_space_group_name_Hall '-P 3 2"'
loop_
_atom_site_label
_atom_site_fract_x
_atom_site_fract_y
_atom_site_fract_z
Nd1 0.0000 0.0000 0.0000
Tm1 0.3333 0.6667 0.6623
S1 0.0000 0.0000 0.5000
S2 0.3333 0.6667 0.1849

(2)
# DyEr6Ni2Te2, optimized geometry, DFT PBE-GGA
# crystal system: orthorhombic
# E_tot: -56.9 eV per formula unit
data_DyEr6Ni2Te2
_chemical_formula_sum 'Dy2 Er12 Ni4 Te4'
_cell_length_a 3.830
_cell_length_b 15.492
_cell_length_c 9.495
_cell_angle_alpha 90.00
_cell_angle_beta 90.00
_cell_angle_gamma 90.00
_symmetry_space_group_name_H-M 'I m m 2'
_symmetry_Int_Tables_number 44
loop_
_symmetry_equiv_pos_as_xyz
'x,y,z'
'-x,-y,z'
'-x,y,z'
'x,-y,z'
'x+1/2,y+1/2,z+1/2'
'-x+1/2,-y+1/2,z+1/2'
'-x+1/2,y+1/2,z+1/2'
'x+1/2,-y+1/2,z+1/2'
loop_
_atom_site_label
_atom_site_fract_x
_atom_site_fract_y
_atom_site_fract_z
Dy1 0.000 0.000 0.000
Er1 0.000 0.133 0.583
Er2 0.000 0.315 0.379
Er3 0.000 0.353 0.730
Ni1 0.000 0.238 0.072
Te1 0.000 0.000 0.337
Te2 0.000 0.500 0.235

(3)
# Sm3Y3Ga, optimized geometry, DFT PBE-GGA
# crystal system: orthorhombic
# E_tot: -37.5 eV per formula unit
data_Sm3Y3Ga
_chemical_formula_sum 'Sm12 Y12 Ga4'
_cell_length_a 3.714
_cell_length_b 12.963
_cell_length_c 17.886
_cell_angle_alpha 90.00
_cell_angle_beta 90.00
_cell_angle_gamma 90.00
_symmetry_space_group_name_H-M 'C m c m'
_symmetry_Int_Tables_number 63
_symmetry_space_group_name_Hall '-C 2c 2'
loop_
_atom_site_label
_atom_site_fract_x
_atom_site_fract_y
_atom_site_fract_z
Sm1 0.000 0.174 0.075
Sm2 0.000 0.286 0.250
Y1 0.000 0.087 0.617
Y2 0.000 0.437 0.750
Ga1 0.000 0.500 0.000

(4)
# TbTlZnS3, optimized geometry, DFT PBE-GGA
# energy relative to the lowest polymorph listed for this composition: 17 meV per atom
# crystal system: orthorhombic
# E_tot: -27.9 eV per formula unit
data_TbTlZnS3
_chemical_formula_sum 'Tb4 Tl4 Zn4 S12'
_cell_length_a 14.411
_cell_length_b 3.994
_cell_length_c 10.768
_cell_angle_alpha 90.00
_cell_angle_beta 90.00
_cell_angle_gamma 90.00
_symmetry_space_group_name_H-M 'P n m a'
_symmetry_Int_Tables_number 62
loop_
_symmetry_equiv_pos_as_xyz
'x,y,z'
'-x,-y,-z'
'-x+1/2,-y,z+1/2'
'x+1/2,y,-z+1/2'
'x+1/2,-y+1/2,-z+1/2'
'-x+1/2,y+1/2,z+1/2'
'-x,y+1/2,-z'
'x,-y+1/2,z'
loop_
_atom_site_label
_atom_site_fract_x
_atom_site_fract_y
_atom_site_fract_z
Tb1 0.024 0.250 0.156
Tl1 0.243 0.250 0.462
Zn1 0.018 0.750 0.402
S1 0.076 0.750 0.612
S2 0.095 0.250 0.923
S3 0.135 0.750 0.251

(5)
# BPdPbAu, optimized geometry, DFT PBE-GGA
# energy relative to the lowest polymorph listed for this composition: 0 meV per atom
# crystal system: cubic
# E_tot: -15.7 eV per formula unit
data_BPdPbAu
_chemical_formula_sum 'B4 Pd4 Pb4 Au4'
_cell_length_a 6.549
_cell_length_b 6.549
_cell_length_c 6.549
_cell_angle_alpha 90.00
_cell_angle_beta 90.00
_cell_angle_gamma 90.00
_symmetry_space_group_name_H-M 'F -4 3 m'
_symmetry_Int_Tables_number 216
_symmetry_space_group_name_Hall 'F -4 2 3'
loop_
_atom_site_label
_atom_site_fract_x
_atom_site_fract_y
_atom_site_fract_z
B1 0.000 0.000 0.000
Pd1 0.000 0.000 0.500
Pb1 0.250 0.250 0.250
Au1 0.250 0.250 0.750

(6)
# HfNbP2, optimized geometry, DFT PBE-GGA
# energy relative to the lowest polymorph listed for this composition: 18 meV per atom
# crystal system: trigonal
# E_tot: -34.9 eV per formula unit
data_HfNbP2
_chemical_formula_sum 'Hf2 Nb2 P4'
_cell_length_a 3.6390
_cell_length_b 3.6390
_cell_length_c 12.0325
_cell_angle_alpha 90.00
_cell_angle_beta 90.00
_cell_angle_gamma 120.00
_symmetry_space_group_name_H-M 'P -3 m 1'
_symmetry_Int_Tables_number 164
_symmetry_space_group_name_Hall '-P 3 2"'
loop_
_atom_site_label
_atom_site_fract_x
_atom_site_fract_y
_atom_site_fract_z
Hf1 0.3333 0.6667 0.1219
Nb1 0.3333 0.6667 0.3939
P1 0.0000 0.0000 0.0000
P2 0.0000 0.0000 0.5000
P3 0.3333 0.6667 0.7425

(7)
# AlRe2, optimized geometry, DFT PBE-GGA
# crystal system: orthorhombic
# E_tot: -28.2 eV per formula unit
data_AlRe2
_chemical_formula_sum 'Al8 Re16'
_cell_length_a 4.974
_cell_length_b 8.796
_cell_length_c 8.124
_cell_angle_alpha 90.00
_cell_angle_beta 90.00
_cell_angle_gamma 90.00
_symmetry_space_group_name_H-M 'C m c m'
_symmetry_Int_Tables_number 63
_symmetry_space_group_name_Hall '-C 2c 2'
loop_
_atom_site_label
_atom_site_fract_x
_atom_site_fract_y
_atom_site_fract_z
Al1 0.000 0.000 0.000
Al2 0.000 0.165 0.250
Re1 0.000 0.352 0.565
Re2 0.248 0.408 0.250

(8)
# PdBr4, optimized geometry, DFT PBE-GGA
# crystal system: monoclinic
# E_tot: -12.1 eV per formula unit
data_PdBr4
_chemical_formula_sum 'Pd4 Br16'
_cell_length_a 10.239
_cell_length_b 7.478
_cell_length_c 8.446
_cell_angle_alpha 90.00
_cell_angle_beta 95.46
_cell_angle_gamma 90.00
_symmetry_space_group_name_H-M 'P 1 21/c 1'
_symmetry_Int_Tables_number 14
loop_
_symmetry_equiv_pos_as_xyz
'x,y,z'
'-x,-y,-z'
'-x,y+1/2,-z+1/2'
'x,-y+1/2,z+1/2'
loop_
_atom_site_label
_atom_site_fract_x
_atom_site_fract_y
_atom_site_fract_z
Pd1 0.247 0.077 0.378
Br1 0.058 0.165 0.191
Br2 0.166 0.708 0.967
Br3 0.332 0.123 0.843
Br4 0.431 0.565 0.760

(9)
# NdGdAg2Bi4, optimized geometry, DFT PBE-GGA
# crystal system: tetragonal
# E_tot: -35.3 eV per formula unit
data_NdGdAg2Bi4
_chemical_formula_sum 'Nd1 Gd1 Ag2 Bi4'
_cell_length_a 4.581
_cell_length_b 4.581
_cell_length_c 10.422
_cell_angle_alpha 90.00
_cell_angle_beta 90.00
_cell_angle_gamma 90.00
_symmetry_space_group_name_H-M 'P 4 m m'
_symmetry_Int_Tables_number 99
loop_
_symmetry_equiv_pos_as_xyz
'x,y,z'
'-y,x,z'
'-x,-y,z'
'y,-x,z'
'-x,y,z'
'y,x,z'
'x,-y,z'
'-y,-x,z'
loop_
_atom_site_label
_atom_site_fract_x
_atom_site_fract_y
_atom_site_fract_z
Nd1 0.000 0.000 0.000
Gd1 0.500 0.500 0.504
Ag1 0.000 0.500 0.257
Bi1 0.000 0.000 0.443
Bi2 0.000 0.500 0.750
Bi3 0.500 0.500 0.069

(10)
# PmGaPO, optimized geometry, DFT PBE-GGA
# energy relative to the lowest polymorph listed for this composition: 142 meV per atom
# crystal system: orthorhombic
# E_tot: -24.0 eV per formula unit
data_PmGaPO
_chemical_formula_sum 'Pm2 Ga2 P2 O2'
_cell_length_a 4.653
_cell_length_b 5.942
_cell_length_c 5.779
_cell_angle_alpha 90.00
_cell_angle_beta 90.00
_cell_angle_gamma 90.00
_symmetry_space_group_name_H-M 'P m c 21'
_symmetry_Int_Tables_number 26
loop_
_symmetry_equiv_pos_as_xyz
'x,y,z'
'-x,-y,z+1/2'
'-x,y,z'
'x,-y,z+1/2'
loop_
_atom_site_label
_atom_site_fract_x
_atom_site_fract_y
_atom_site_fract_z
Pm1 0.000 0.248 0.000
Ga1 0.500 0.335 0.579
P1 0.000 0.240 0.502
O1 0.500 0.345 0.951

(11)
# Lu2Sb, optimized geometry, DFT PBE-GGA
# crystal system: cubic
# E_tot: -14.2 eV per formula unit
data_Lu2Sb
_chemical_formula_sum 'Lu8 Sb4'
_cell_length_a 7.014
_cell_length_b 7.014
_cell_length_c 7.014
_cell_angle_alpha 90.00
_cell_angle_beta 90.00
_cell_angle_gamma 90.00
_symmetry_space_group_name_H-M 'F m -3 m'
_symmetry_Int_Tables_number 225
_symmetry_space_group_name_Hall '-F 4 2 3'
loop_
_atom_site_label
_atom_site_fract_x
_atom_site_fract_y
_atom_site_fract_z
Lu1 0.250 0.250 0.250
Sb1 0.000 0.000 0.000

(12)
# GeMoPb, optimized geometry, DFT PBE-GGA
# crystal system: cubic
# E_tot: -15.2 eV per formula unit
data_GeMoPb
_chemical_formula_sum 'Ge4 Mo4 Pb4'
_cell_length_a 6.784
_cell_length_b 6.784
_cell_length_c 6.784
_cell_angle_alpha 90.00
_cell_angle_beta 90.00
_cell_angle_gamma 90.00
_symmetry_space_group_name_H-M 'F -4 3 m'
_symmetry_Int_Tables_number 216
_symmetry_space_group_name_Hall 'F -4 2 3'
loop_
_atom_site_label
_atom_site_fract_x
_atom_site_fract_y
_atom_site_fract_z
Ge1 0.000 0.000 0.000
Mo1 0.000 0.000 0.500
Pb1 0.250 0.250 0.250